# Ba2GaPd2

A geometry-optimized Ba2GaPd2 structure (GGA-PBEsol, Alexandria).

Summary:
calculated total energy: -0.151 hartree per atom
total magnetization: 0.22 μB per formula unit

Lattice parameters (Å, degrees): 3.8072 3.8072 19.0484 90.00 90.00 90.00
Atoms (fractional coordinates):
Ba: 0.0000 0.0000 0.1167
Ba: 0.0000 0.0000 0.8833
Ba: 0.5000 0.5000 0.3833
Ba: 0.5000 0.5000 0.6167
Ga: 0.0000 0.0000 0.5000
Ga: 0.5000 0.5000 0.0000
Pd: 0.0000 0.5000 0.2500
Pd: 0.0000 0.5000 0.7500
Pd: 0.5000 0.0000 0.2500
Pd: 0.5000 0.0000 0.7500

# BeCrFe2

A geometry-optimized BeCrFe2 structure (GGA-PBEsol, Alexandria).

Summary:
calculated total energy: -0.300 hartree per atom
total magnetization: 0.00 μB per formula unit

Lattice parameters (Å, degrees): 2.6945 2.6945 5.2474 90.00 90.00 90.00
Atoms (fractional coordinates):
Be: 0.0000 0.0000 0.0000
Cr: 0.0000 0.0000 0.5000
Fe: 0.5000 0.5000 0.2379
Fe: 0.5000 0.5000 0.7621

# La2Br5

A geometry-optimized La2Br5 structure (GGA-PBEsol, Alexandria).

Summary:
raw formation energy: -44.5 kcal/mol of atoms
calculated total energy: -0.176 hartree per atom
total magnetization: 1.00 μB per formula unit

Lattice parameters (Å, degrees): 7.7660 4.2091 13.3896 90.00 91.04 90.00
Atoms (fractional coordinates):
La: 0.0660 0.2500 0.3375
La: 0.4279 0.7500 0.1582
La: 0.5721 0.2500 0.8418
La: 0.9340 0.7500 0.6625
Br: 0.0437 0.7500 0.1758
Br: 0.1544 0.2500 0.5665
Br: 0.3071 0.2500 0.0111
Br: 0.3264 0.7500 0.7685
Br: 0.3425 0.7500 0.3768
Br: 0.6575 0.2500 0.6232
Br: 0.6736 0.2500 0.2315
Br: 0.6929 0.7500 0.9889
Br: 0.8456 0.7500 0.4335
Br: 0.9563 0.2500 0.8242

# Y5Zn

A geometry-optimized Y5Zn structure (GGA-PBEsol, Alexandria).

Summary:
calculated total energy: -0.222 hartree per atom
energy relative to the lowest polymorph listed for this composition: 8.1 meV/atom
total magnetization: 0.00 μB per formula unit

Lattice parameters (Å, degrees): 12.0401 3.6102 8.3660 90.00 112.63 90.00
Atoms (fractional coordinates):
Y: 0.0000 0.0000 0.0000
Y: 0.0290 0.0000 0.4321
Y: 0.1676 0.5000 0.7945
Y: 0.3061 0.0000 0.1570
Y: 0.3354 0.0000 0.5898
Y: 0.5000 0.5000 0.0000
Y: 0.5290 0.5000 0.4321
Y: 0.6676 0.0000 0.7945
Y: 0.8061 0.5000 0.1570
Y: 0.8354 0.5000 0.5898
Zn: 0.1680 0.5000 0.2952
Zn: 0.6680 0.0000 0.2952

# LaMgCl2

A geometry-optimized LaMgCl2 structure (GGA-PBEsol, Alexandria).

Summary:
raw formation energy: -19.4 kcal/mol of atoms
calculated total energy: -0.133 hartree per atom
energy relative to the lowest polymorph listed for this composition: 376.1 meV/atom
total magnetization: 2.39 μB per formula unit

Lattice parameters (Å, degrees): 6.1708 6.1708 12.4955 90.00 90.00 90.00
Atoms (fractional coordinates):
La: 0.0000 0.0000 0.0000
La: 0.0000 0.5000 0.2500
La: 0.5000 0.0000 0.7500
La: 0.5000 0.5000 0.5000
Mg: 0.0000 0.0000 0.5000
Mg: 0.0000 0.5000 0.7500
Mg: 0.5000 0.0000 0.2500
Mg: 0.5000 0.5000 0.0000
Cl: 0.1833 0.2500 0.6250
Cl: 0.2500 0.6833 0.8750
Cl: 0.2500 0.8167 0.3750
Cl: 0.3167 0.2500 0.1250
Cl: 0.6833 0.7500 0.1250
Cl: 0.7500 0.1833 0.3750
Cl: 0.7500 0.3167 0.8750
Cl: 0.8167 0.7500 0.6250

# Mn3AuSe

A geometry-optimized Mn3AuSe structure (GGA-PBEsol, Alexandria).

Summary:
raw formation energy: 22.9 kcal/mol of atoms
calculated total energy: -0.236 hartree per atom
total magnetization: 12.79 μB per formula unit

Lattice parameters (Å, degrees): 4.8357 4.8357 4.8357 90.00 90.00 90.00
Atoms (fractional coordinates):
Mn: 0.0000 0.0000 0.5000
Mn: 0.0000 0.5000 0.0000
Mn: 0.5000 0.0000 0.0000
Au: 0.0000 0.0000 0.0000
Se: 0.5000 0.5000 0.5000

# SrMnTl3

A geometry-optimized SrMnTl3 structure (GGA-PBEsol, Alexandria).

Summary:
calculated total energy: -0.142 hartree per atom
total magnetization: 1.99 μB per formula unit

Lattice parameters (Å, degrees): 5.1210 5.1210 5.1210 90.00 90.00 90.00
Atoms (fractional coordinates):
Sr: 0.0000 0.0000 0.0000
Mn: 0.5000 0.5000 0.5000
Tl: 0.0000 0.5000 0.5000
Tl: 0.5000 0.0000 0.5000
Tl: 0.5000 0.5000 0.0000

# Tl2AgHg

A geometry-optimized Tl2AgHg structure (GGA-PBEsol, Alexandria).

Summary:
calculated total energy: -0.080 hartree per atom
energy relative to the lowest polymorph listed for this composition: 28.2 meV/atom
total magnetization: 0.00 μB per formula unit

Lattice parameters (Å, degrees): 4.7759 4.7759 4.1296 90.00 90.00 90.00
Atoms (fractional coordinates):
Tl: 0.0000 0.5000 0.0000
Tl: 0.5000 0.0000 0.0000
Ag: 0.0000 0.0000 0.5000
Hg: 0.5000 0.5000 0.5000

# FeNiP

A geometry-optimized FeNiP structure (GGA-PBEsol, Alexandria).

Summary:
calculated total energy: -0.277 hartree per atom
total magnetization: 0.00 μB per formula unit

Lattice parameters (Å, degrees): 5.1295 5.1295 5.1295 90.00 90.00 90.00
Atoms (fractional coordinates):
Fe: 0.0000 0.0000 0.0000
Fe: 0.0000 0.5000 0.5000
Fe: 0.5000 0.0000 0.5000
Fe: 0.5000 0.5000 0.0000
Ni: 0.0000 0.0000 0.5000
Ni: 0.0000 0.5000 0.0000
Ni: 0.5000 0.0000 0.0000
Ni: 0.5000 0.5000 0.5000
P: 0.2500 0.2500 0.7500
P: 0.2500 0.7500 0.2500
P: 0.7500 0.2500 0.2500
P: 0.7500 0.7500 0.7500

# MgCo2Te

A geometry-optimized MgCo2Te structure (GGA-PBEsol, Alexandria).

Summary:
raw formation energy: 1.9 kcal/mol of atoms
calculated total energy: -0.187 hartree per atom
total magnetization: 0.64 μB per formula unit

Lattice parameters (Å, degrees): 4.0471 4.0471 3.4051 90.00 90.00 90.00
Atoms (fractional coordinates):
Mg: 0.0000 0.0000 0.0000
Co: 0.0000 0.5000 0.5000
Co: 0.5000 0.0000 0.5000
Te: 0.5000 0.5000 0.0000

# KCS2N

A geometry-optimized KCS2N structure (GGA-PBEsol, Alexandria).

Summary:
raw formation energy: 7.0 kcal/mol of atoms
calculated total energy: -0.195 hartree per atom
total magnetization: 0.00 μB per formula unit

Lattice parameters (Å, degrees): 5.9208 5.9208 2.4628 90.00 90.00 90.00
Atoms (fractional coordinates):
K: 0.0000 0.0000 0.0000
C: 0.5000 0.5000 0.5000
S: 0.0000 0.5000 0.5000
S: 0.5000 0.0000 0.5000
N: 0.5000 0.5000 0.0000

# SnBiB2H

A geometry-optimized SnBiB2H structure (GGA-PBEsol, Alexandria).

Summary:
calculated total energy: -0.133 hartree per atom
total magnetization: 0.00 μB per formula unit

Lattice parameters (Å, degrees): 4.4415 4.4415 3.9427 90.00 90.00 90.00
Atoms (fractional coordinates):
Sn: 0.0000 0.0000 0.0000
Bi: 0.5000 0.5000 0.0000
B: 0.0000 0.5000 0.5000
B: 0.5000 0.0000 0.5000
H: 0.5000 0.5000 0.5000